1.
First-principles (GGA-PBEsol) data for an optimized crystal structure of RbMg2Nb, as listed in Alexandria via LeMat-Bulk.

```
RbMg2Nb
1.0
5.377 0.000 0.000
2.688 4.656 0.000
2.688 1.552 4.390
Nb Mg Rb
1 2 1
direct
0.500 0.500 0.500
0.250 0.250 0.250
0.750 0.750 0.750
0.000 0.000 0.000
```

Values from the calculation:
energy: -11.104 eV per cell
D(E_F): 5.43 states/eV/f.u.
spin magnetization: 0.823 μB/atom

=====

2.
First-principles (GGA-PBEsol) data for an optimized crystal structure of Mg2NbRh, as listed in Alexandria via LeMat-Bulk.

```
Mg2NbRh
1.0
-0.200 -2.884 3.498
0.813 -4.417 -0.651
3.805 -1.870 1.620
Nb Rh Mg
1 1 2
direct
0.000 0.000 0.000
0.500 0.500 0.500
0.250 0.250 0.250
0.750 0.750 0.750
```

Values from the calculation:
energy: -21.398 eV per cell
D(E_F): 4.32 states/eV/f.u.
spin magnetization: 0.139 μB/atom

=====

Taking the records one at a time from the top gives calculated density values of 3.43, 6.14 Mg/m³.
Taking the records one at a time from the top gives energy relative to the elements values of 1.0441, 0.2490 eV per atom.